Ba2Dy3PbO8 after structural relaxation, computed with PBE.

uncorrected formation energy: -2753 meV/atom

Cell and atoms, written as POSCAR:
```
Ba2Dy3PbO8
1.0
-4.658 -3.113 4.223
-1.647 -6.751 -0.966
2.570 -4.986 4.987
O Ba Dy Pb
8 2 3 1
Cartesian
-1.207 -3.613 1.833
-2.350 -11.302 6.560
-4.278 -8.526 3.496
-1.552 -7.871 6.702
0.495 -6.504 4.847
-3.474 -5.232 3.967
-0.229 -9.470 4.423
-2.005 -7.007 1.435
0.829 -4.353 3.533
-1.852 -7.431 4.136
-0.560 -9.867 6.593
0.239 -6.591 7.062
1.700 -8.356 4.543
-4.791 -10.415 4.522
```

---

Ba2DyPbO5 after structural relaxation, computed with PBE.

uncorrected formation energy: -2344 meV/atom

Cell and atoms, written as POSCAR:
```
Ba2DyPbO5
1.0
3.643 0.000 0.000
-1.821 7.829 0.000
0.000 0.000 11.502
O Pb Ba Dy
10 2 4 2
Cartesian
1.821 3.443 1.547
0.000 1.174 0.496
0.000 7.827 3.311
1.821 2.081 5.834
1.821 6.656 6.247
1.821 0.002 9.062
0.000 4.386 7.298
0.000 5.748 0.083
1.821 3.239 10.079
0.000 4.590 4.328
1.821 0.169 11.248
0.000 7.661 5.497
0.000 1.937 8.218
1.821 5.717 8.956
0.000 2.113 3.205
1.821 5.893 2.467
0.000 3.507 0.044
1.821 4.322 5.795
```

---

BaDy2PdO5 after structural relaxation, computed with PBE.

uncorrected formation energy: -2673 meV/atom

Cell and atoms, written as POSCAR:
```
BaDy2PdO5
1.0
6.580 0.000 0.000
0.000 6.580 0.000
0.000 0.000 5.924
O Pd Ba Dy
10 2 2 4
Cartesian
4.215 5.655 4.382
3.290 3.290 2.962
2.365 0.925 4.382
0.925 4.215 1.543
0.000 0.000 2.962
0.925 4.215 4.382
5.655 2.365 1.543
2.365 0.925 1.543
5.655 2.365 4.382
4.215 5.655 1.543
0.000 3.290 0.000
3.290 0.000 0.000
3.290 3.290 0.000
0.000 0.000 0.000
2.144 5.434 2.962
1.145 2.144 2.962
4.435 1.145 2.962
5.434 4.435 2.962
```

---

Ba3DyPd2O9 after structural relaxation, computed with PBE.

uncorrected formation energy: -1837 meV/atom

Cell and atoms, written as POSCAR:
```
Ba3DyPd2O9
1.0
-3.850 2.499 -3.701
-1.562 -1.100 5.578
2.389 6.599 1.970
O Pd Ba Dy
9 2 3 1
Cartesian
-1.193 1.651 4.591
-3.026 2.840 2.829
-0.781 -0.550 2.789
-0.449 2.174 1.935
-1.925 1.249 -1.851
-2.573 5.824 1.912
0.004 5.158 1.018
-2.706 0.700 0.938
-1.829 6.347 -0.744
-1.931 1.187 2.810
-1.091 6.811 1.037
0.000 0.000 0.000
-2.333 3.383 0.014
-0.689 4.615 3.833
1.195 3.299 0.985
```

---

Ba3DyPd2O6 after structural relaxation, computed with PBE.

uncorrected formation energy: -1825 meV/atom

Cell and atoms, written as POSCAR:
```
Ba3DyPd2O6
1.0
6.136 0.000 0.000
-3.068 5.314 0.000
0.000 0.000 6.885
Dy Ba O Pd
1 3 6 2
Cartesian
0.000 0.000 3.442
0.000 0.000 0.000
3.068 1.771 2.489
0.000 3.543 4.396
4.598 0.888 4.765
3.068 3.538 4.765
-1.530 4.426 2.120
0.000 1.776 2.120
1.530 4.426 2.120
1.538 0.888 4.765
0.000 3.543 1.002
3.068 1.771 5.883
```

---

BaDy2PdO5 after structural relaxation, computed with PBE.

uncorrected formation energy: -2483 meV/atom

Cell and atoms, written as POSCAR:
```
BaDy2PdO5
1.0
6.558 0.000 0.000
0.000 6.558 0.000
-3.279 -3.279 6.121
Pd Ba Dy O
2 2 4 10
Cartesian
0.000 3.279 3.061
3.279 0.000 3.061
0.000 0.000 3.061
3.279 3.279 3.061
5.428 4.409 0.000
1.130 2.149 0.000
4.409 1.130 0.000
2.149 5.428 0.000
-2.354 0.925 4.705
2.354 0.925 1.416
3.279 3.279 0.000
5.633 2.354 1.416
2.354 -0.925 4.705
-0.925 -2.354 4.705
0.925 4.203 1.416
0.925 2.354 4.705
0.000 0.000 0.000
4.203 5.633 1.416
```

---

BaPrDySnO6 after structural relaxation, computed with PBE.

uncorrected formation energy: -2636 meV/atom

Cell and atoms, written as POSCAR:
```
BaPrDySnO6
1.0
-4.583 -2.965 2.507
-4.531 -1.969 -3.416
-0.673 -5.885 -0.995
O Dy Ba Sn Pr
6 1 1 1 1
Cartesian
-4.718 -3.745 -2.144
-5.044 -6.592 -2.626
-4.743 -4.226 0.721
-2.852 -5.639 -0.973
-6.935 -5.179 -0.931
-5.069 -7.073 0.240
0.000 0.000 0.000
-2.447 -2.705 -0.476
-4.893 -5.409 -0.952
-7.340 -8.114 -1.428
```

---

Ba3DyPt2O9 after structural relaxation, computed with PBE.

uncorrected formation energy: -1933 meV/atom

Cell and atoms, written as POSCAR:
```
Ba3DyPt2O9
1.0
-5.855 -0.628 -0.498
3.606 -2.909 -3.669
0.205 -5.604 4.646
O Ba Pt Dy
9 3 2 1
Cartesian
2.015 -4.314 -1.618
-1.280 -4.529 2.333
-4.059 -4.827 2.096
-2.347 -6.207 0.355
0.304 -2.933 0.123
-1.124 -1.768 -2.083
-0.763 -4.612 -1.854
1.803 -1.454 -1.834
-2.928 -0.314 -0.249
0.592 -5.965 0.552
0.000 0.000 0.000
-2.636 -3.175 -0.073
-2.530 -6.073 2.329
0.486 -3.068 -1.850
0.103 -2.802 2.323
```

---

- Which value of uncorrected formation energy does entry 5 give?
  -1825 meV/atom

---

Copy entry 5 word for word.
Ba3DyPd2O6 after structural relaxation, computed with PBE.

uncorrected formation energy: -1825 meV/atom

Cell and atoms, written as POSCAR:
```
Ba3DyPd2O6
1.0
6.136 0.000 0.000
-3.068 5.314 0.000
0.000 0.000 6.885
Dy Ba O Pd
1 3 6 2
Cartesian
0.000 0.000 3.442
0.000 0.000 0.000
3.068 1.771 2.489
0.000 3.543 4.396
4.598 0.888 4.765
3.068 3.538 4.765
-1.530 4.426 2.120
0.000 1.776 2.120
1.530 4.426 2.120
1.538 0.888 4.765
0.000 3.543 1.002
3.068 1.771 5.883
```

---

- Look up the uncorrected formation energy of the third one.
  -2673 meV/atom

---

Please write out number 3 again, unchanged.
BaDy2PdO5 after structural relaxation, computed with PBE.

uncorrected formation energy: -2673 meV/atom

Cell and atoms, written as POSCAR:
```
BaDy2PdO5
1.0
6.580 0.000 0.000
0.000 6.580 0.000
0.000 0.000 5.924
O Pd Ba Dy
10 2 2 4
Cartesian
4.215 5.655 4.382
3.290 3.290 2.962
2.365 0.925 4.382
0.925 4.215 1.543
0.000 0.000 2.962
0.925 4.215 4.382
5.655 2.365 1.543
2.365 0.925 1.543
5.655 2.365 4.382
4.215 5.655 1.543
0.000 3.290 0.000
3.290 0.000 0.000
3.290 3.290 0.000
0.000 0.000 0.000
2.144 5.434 2.962
1.145 2.144 2.962
4.435 1.145 2.962
5.434 4.435 2.962
```